The following is a PBE calculation of a geometry-optimized Sn3As2 structure, from Alexandria.

Lattice parameters (Å, degrees): 7.0710 7.0710 7.0710 66.16 66.16 66.16
With the nearest neighbours (Å) after each atom.
Atoms (fractional coordinates):
Sn (0.0179, 0.7500, 0.4821)  4 As 2.93-2.94
Sn (0.2500, 0.5179, 0.9821)  4 As 2.93-2.94
Sn (0.4821, 0.0179, 0.7500)  4 As 2.93-2.94
Sn (0.5179, 0.9821, 0.2500)  4 As 2.93-2.94
Sn (0.7500, 0.4821, 0.0179)  4 As 2.93-2.94
Sn (0.9821, 0.2500, 0.5179)  4 As 2.93-2.94
As (0.1228, 0.1228, 0.1228)  6 Sn 2.93-2.94
As (0.3772, 0.3772, 0.3772)  6 Sn 2.93-2.94
As (0.6228, 0.6228, 0.6228)  6 Sn 2.93-2.94
As (0.8772, 0.8772, 0.8772)  6 Sn 2.93-2.94

Properties
- Symmetry: R-3c
- Total energy: -0.1524 Ha/atom
- ΔH_f (0 K): 0.579 eV/f.u.
- DOS(E_F): 2.85 states/eV/f.u.